Entry 1:
First-principles (PBE) data for a relaxed Ca2Zn5Pt4 crystal, as listed in the Alexandria database.

Output
E (eV per atom): -3.7728
M_tot (Bohr magnetons per cell): 0.000
ΔE_f (eV per atom): -0.63
Calculated volume (Å³ per cell): 208

Unit cell a=9.378 b=8.546 c=5.449 alpha=80.87 beta=64.12 gamma=35.01
Fractional coordinates of all 11 atoms:
Ca 0.148 0.148 0.852
Ca 0.852 0.852 0.148
Zn 0.000 0.000 0.500
Zn 0.250 0.250 0.250
Zn 0.500 0.500 0.000
Zn 0.500 0.500 0.500
Zn 0.750 0.750 0.750
Pt 0.216 0.530 0.470
Pt 0.470 0.784 0.216
Pt 0.530 0.216 0.784
Pt 0.784 0.470 0.530

Entry 2:
First-principles (PBE) data for a relaxed Sr2TiSbMo crystal, as listed in the Alexandria database.

Output
E (eV per atom): -4.3271
Uncorrected formation energy (kJ/mol of formula units): 442
M_tot (Bohr magnetons per cell): 3.504
Calculated volume (Å³ per cell): 174

Unit cell a=5.786 b=5.786 c=5.189 alpha=90.00 beta=90.00 gamma=90.00
Fractional coordinates of all 5 atoms:
Sr 0.000 0.500 0.000
Sr 0.500 0.000 0.000
Ti 0.000 0.000 0.500
Sb 0.500 0.500 0.500
Mo 0.500 0.500 0.000

Entry 3:
First-principles (PBE) data for a relaxed RbPa2GaSe5 crystal, as listed in the Alexandria database.

Output
E (eV per atom): -5.6644
Uncorrected formation energy (kJ/mol of formula units): -1020
M_tot (Bohr magnetons per cell): 4.034
Calculated volume (Å³ per cell): 513

Unit cell a=9.904 b=9.904 c=9.904 alpha=132.85 beta=132.85 gamma=68.89
Fractional coordinates of all 18 atoms:
Rb 0.250 0.250 0.000
Rb 0.750 0.750 0.000
Pa 0.156 0.656 0.812
Pa 0.344 0.156 0.500
Pa 0.656 0.844 0.500
Pa 0.844 0.344 0.188
Ga 0.250 0.750 0.500
Ga 0.750 0.250 0.500
Se 0.000 0.000 0.000
Se 0.035 0.240 0.500
Se 0.240 0.740 0.205
Se 0.260 0.465 0.500
Se 0.465 0.965 0.205
Se 0.500 0.500 0.000
Se 0.535 0.035 0.795
Se 0.740 0.535 0.500
Se 0.760 0.260 0.795
Se 0.965 0.760 0.500

Entry 4:
First-principles (PBE) data for a relaxed AlSb2Ir crystal, as listed in the Alexandria database.

Output
E (eV per atom): -5.0459
Uncorrected formation energy (kJ/mol of formula units): 64
M_tot (Bohr magnetons per cell): 0.000
Calculated volume (Å³ per cell): 83

Unit cell a=3.294 b=3.294 c=7.678 alpha=90.00 beta=90.00 gamma=90.00
Fractional coordinates of all 4 atoms:
Al 0.000 0.000 0.000
Sb 0.500 0.500 0.284
Sb 0.500 0.500 0.716
Ir 0.000 0.000 0.500

Entry 5:
First-principles (PBE) data for a relaxed Th2Al2Fe2C crystal, as listed in the Alexandria database.

Output
E (eV per atom): -7.2770
M_tot (Bohr magnetons per cell): 0.000
ΔE_f (eV per atom): -0.35
Calculated volume (Å³ per cell): 252

Unit cell a=10.901 b=4.178 c=7.197 alpha=90.00 beta=129.74 gamma=90.00
Fractional coordinates of all 14 atoms:
Th 0.051 0.000 0.319
Th 0.449 0.500 0.681
Th 0.551 0.500 0.319
Th 0.949 0.000 0.681
Al 0.167 0.500 0.108
Al 0.333 0.000 0.892
Al 0.667 0.000 0.108
Al 0.833 0.500 0.892
Fe 0.192 0.500 0.795
Fe 0.308 0.000 0.205
Fe 0.692 0.000 0.795
Fe 0.808 0.500 0.205
C 0.000 0.500 0.500
C 0.500 0.000 0.500

Entry 6:
First-principles (PBE) data for a relaxed Mn2BSe crystal, as listed in the Alexandria database.

Output
E (eV per atom): -6.8478
Uncorrected formation energy (kJ/mol of formula units): 107
M_tot (Bohr magnetons per cell): 21.254
E above lowest polymorph (meV per atom): 0.0
Calculated volume (Å³ per cell): 257

Unit cell a=4.963 b=4.963 c=10.418 alpha=90.00 beta=90.00 gamma=90.00
Fractional coordinates of all 16 atoms:
Mn 0.174 0.250 0.125
Mn 0.250 0.674 0.375
Mn 0.250 0.826 0.875
Mn 0.326 0.250 0.625
Mn 0.674 0.750 0.625
Mn 0.750 0.174 0.875
Mn 0.750 0.326 0.375
Mn 0.826 0.750 0.125
B 0.000 0.000 0.000
B 0.000 0.500 0.250
B 0.500 0.000 0.750
B 0.500 0.500 0.500
Se 0.000 0.000 0.500
Se 0.000 0.500 0.750
Se 0.500 0.000 0.250
Se 0.500 0.500 0.000

Entry 7:
First-principles (PBE) data for a relaxed Ba2Y crystal, as listed in the Alexandria database.

Output
E (eV per atom): -3.2274
M_tot (Bohr magnetons per cell): 2.879
E above lowest polymorph (meV per atom): 35.3
ΔE_f (eV per atom): 0.21
Calculated volume (Å³ per cell): 602

Unit cell a=16.743 b=4.187 c=8.905 alpha=90.00 beta=105.22 gamma=90.00
Fractional coordinates of all 12 atoms:
Ba 0.130 0.000 0.056
Ba 0.170 0.000 0.606
Ba 0.330 0.500 0.394
Ba 0.370 0.500 0.944
Ba 0.630 0.500 0.056
Ba 0.670 0.500 0.606
Ba 0.830 0.000 0.394
Ba 0.870 0.000 0.944
Y 0.008 0.500 0.307
Y 0.492 0.000 0.693
Y 0.508 0.000 0.307
Y 0.992 0.500 0.693

Entry 8:
First-principles (PBE) data for a relaxed TbSm2Tm crystal, as listed in the Alexandria database.

Output
E (eV per atom): -4.6186
M_tot (Bohr magnetons per cell): 0.000
E above lowest polymorph (meV per atom): 0.4
ΔE_f (eV per atom): 0.02
Calculated volume (Å³ per cell): 386

Unit cell a=3.578 b=3.578 c=34.852 alpha=90.00 beta=90.00 gamma=120.00
Fractional coordinates of all 12 atoms:
Tb 0.000 0.000 0.000
Tb 0.333 0.667 0.667
Tb 0.667 0.333 0.333
Sm 0.000 0.000 0.249
Sm 0.000 0.000 0.751
Sm 0.333 0.667 0.417
Sm 0.333 0.667 0.916
Sm 0.667 0.333 0.084
Sm 0.667 0.333 0.583
Tm 0.000 0.000 0.500
Tm 0.333 0.667 0.167
Tm 0.667 0.333 0.833

Entry 9:
First-principles (PBE) data for a relaxed RbVSbI6 crystal, as listed in the Alexandria database.

Output
E (eV per atom): -3.2326
Uncorrected formation energy (kJ/mol of formula units): -539
M_tot (Bohr magnetons per cell): 3.000
Calculated volume (Å³ per cell): 418

Unit cell a=7.695 b=7.695 c=8.160 alpha=90.00 beta=90.00 gamma=120.00
Fractional coordinates of all 9 atoms:
Rb 0.000 0.000 0.000
V 0.333 0.667 0.500
Sb 0.667 0.333 0.500
I 0.021 0.382 0.705
I 0.021 0.639 0.295
I 0.361 0.382 0.295
I 0.361 0.979 0.705
I 0.618 0.639 0.705
I 0.618 0.979 0.295

Entry 10:
First-principles (PBE) data for a relaxed AlOsCl crystal, as listed in the Alexandria database.

Output
E (eV per atom): -4.5209
Uncorrected formation energy (kJ/mol of formula units): 314
M_tot (Bohr magnetons per cell): 0.823
E above lowest polymorph (meV per atom): 1139.5
Calculated volume (Å³ per cell): 220

Unit cell a=6.036 b=6.036 c=6.036 alpha=90.00 beta=90.00 gamma=90.00
Fractional coordinates of all 12 atoms:
Al 0.000 0.000 0.000
Al 0.000 0.500 0.500
Al 0.500 0.000 0.500
Al 0.500 0.500 0.000
Os 0.250 0.250 0.250
Os 0.250 0.750 0.750
Os 0.750 0.250 0.750
Os 0.750 0.750 0.250
Cl 0.250 0.250 0.750
Cl 0.250 0.750 0.250
Cl 0.750 0.250 0.250
Cl 0.750 0.750 0.750

Entry 11:
First-principles (PBE) data for a relaxed RbTl3Pt crystal, as listed in the Alexandria database.

Output
E (eV per atom): -1.5318
M_tot (Bohr magnetons per cell): 0.000
E above lowest polymorph (meV per atom): 1409.8
ΔE_f (eV per atom): 1.29
Calculated volume (Å³ per cell): 239

Unit cell a=6.206 b=6.206 c=6.206 alpha=90.00 beta=90.00 gamma=90.00
Fractional coordinates of all 5 atoms:
Rb 0.000 0.000 0.000
Tl 0.000 0.000 0.500
Tl 0.000 0.500 0.000
Tl 0.500 0.000 0.000
Pt 0.500 0.500 0.500

Entry 12:
First-principles (PBE) data for a relaxed LiMgBe crystal, as listed in the Alexandria database.

Output
E (eV per atom): -2.2556
M_tot (Bohr magnetons per cell): 0.000
E above lowest polymorph (meV per atom): 24.7
ΔE_f (eV per atom): 0.16
Calculated volume (Å³ per cell): 192

Unit cell a=4.309 b=9.948 c=4.945 alpha=90.00 beta=114.86 gamma=90.00
Fractional coordinates of all 12 atoms:
Li 0.172 0.000 0.344
Li 0.328 0.500 0.656
Li 0.672 0.500 0.344
Li 0.828 0.000 0.656
Mg 0.000 0.350 0.000
Mg 0.000 0.650 0.000
Mg 0.500 0.150 0.000
Mg 0.500 0.850 0.000
Be 0.000 0.249 0.500
Be 0.000 0.751 0.500
Be 0.500 0.251 0.500
Be 0.500 0.749 0.500